[1]
A plane-wave DFT calculation with PBE-GGA was carried out for crystalline Zr2BeIn at its relaxed geometry.

Values from the calculation:
Total magnetization = 0.018 Bohr magnetons per cell
Offset from the most stable computed form = 591 meV per atom
Energy of formation = 412 meV per atom

Lattice parameters (Å, degrees): 6.8284 6.8284 6.8284 90.00 90.00 90.00
Last column: nearest neighbours and their distance in Å.
Space group F-43m (No. 216)
Asymmetric unit:
Zr 0.0000 0.0000 0.0000 [4 per cell]  4 Zr 2.96, 4 In 2.96
Zr 0.2500 0.2500 0.2500 [4 per cell]  4 Zr 2.96, 4 Be 2.96
Be 0.0000 0.0000 0.5000 [4 per cell]  4 Zr 2.96, 4 In 2.96
In 0.2500 0.2500 0.7500 [4 per cell]  4 Zr 2.96, 4 Be 2.96

[2]
A plane-wave DFT calculation with PBE-GGA was carried out for crystalline Zr2BeIn at its relaxed geometry.

Values from the calculation:
Total magnetization = 0.000 Bohr magnetons per cell
Offset from the most stable computed form = 75 meV per atom
Energy of formation = -104 meV per atom

Lattice parameters (Å, degrees): 3.0854 3.7359 6.6879 90.00 90.00 90.00
Last column: nearest neighbours and their distance in Å.
Space group Pmmm (No. 47)
Asymmetric unit:
Zr 0.0000 0.0000 0.2203 [2 per cell]  4 Be 2.84, 3 Zr 2.95-3.09, 4 In 3.06
Be 0.5000 0.5000 0.0000 [1 per cell]  8 Zr 2.84, 2 Be 3.09
In 0.5000 0.5000 0.5000 [1 per cell]  8 Zr 3.06, 2 In 3.09, 2 Be 3.34

[3]
A plane-wave DFT calculation with PBE-GGA was carried out for crystalline ZrBe2In at its relaxed geometry.

Values from the calculation:
Total magnetization = 0.000 Bohr magnetons per cell
Energy of formation = 530 meV per atom

Lattice parameters (Å, degrees): 2.9782 2.9782 26.8768 90.00 90.00 120.00
Last column: nearest neighbours and their distance in Å.
Space group R-3m (No. 166, hexagonal axes)
Asymmetric unit:
Zr 0.0000 0.0000 0.0000 [3 per cell]  6 Be 2.86, 6 Zr 2.98
Be 0.0000 0.0000 0.2485 [6 per cell]  3 In 2.79, 3 Zr 2.86, 6 Be 2.98
In 0.0000 0.0000 0.5000 [3 per cell]  6 Be 2.79, 6 In 2.98

[4]
A plane-wave DFT calculation with PBE-GGA was carried out for crystalline Zr2BeIn at its relaxed geometry.

Values from the calculation:
Total magnetization = 0.000 Bohr magnetons per cell
Offset from the most stable computed form = 183 meV per atom
Energy of formation = 3 meV per atom

Lattice parameters (Å, degrees): 6.7912 6.7912 6.7912 90.00 90.00 90.00
Last column: nearest neighbours and their distance in Å.
Space group Fm-3m (No. 225)
Asymmetric unit:
Zr 0.2500 0.2500 0.2500 [8 per cell]  4 In 2.94, 4 Be 2.94
Be 0.0000 0.0000 0.0000 [4 per cell]  8 Zr 2.94
In 0.0000 0.0000 0.5000 [4 per cell]  8 Zr 2.94

[5]
A plane-wave DFT calculation with PBE-GGA was carried out for crystalline ZrBe2In at its relaxed geometry.

Values from the calculation:
Total magnetization = 0.000 Bohr magnetons per cell
Energy of formation = 80 meV per atom

Lattice parameters (Å, degrees): 4.0221 4.0221 13.4961 90.00 90.00 120.00
Last column: nearest neighbours and their distance in Å.
Space group R-3m (No. 166, hexagonal axes)
Asymmetric unit:
Zr 0.0000 0.0000 0.0000 [3 per cell]  8 Be 2.83-2.88
Be 0.0000 0.0000 0.2136 [6 per cell]  3 In 2.41, 3 Be 2.65
In 0.0000 0.0000 0.5000 [3 per cell]  6 Be 2.41

[6]
A plane-wave DFT calculation with PBE-GGA was carried out for crystalline ZrBeIn2 at its relaxed geometry.

Values from the calculation:
Total magnetization = 0.000 Bohr magnetons per cell
Energy of formation = 124 meV per atom

Lattice parameters (Å, degrees): 7.5592 7.5592 5.6637 90.00 90.00 90.00
Last column: nearest neighbours and their distance in Å.
Space group I-42d (No. 122)
Asymmetric unit:
Zr 0.0000 0.0000 0.0000 [4 per cell]  2 Be 2.83, 4 In 3.09
Be 0.0000 0.0000 0.5000 [4 per cell]  4 In 2.48
In 0.1901 0.2500 0.6250 [8 per cell]  2 Be 2.48

[7]
A plane-wave DFT calculation with PBE-GGA was carried out for crystalline ZrBeIn2 at its relaxed geometry.

Values from the calculation:
Total magnetization = 0.000 Bohr magnetons per cell
Energy of formation = 104 meV per atom

Lattice parameters (Å, degrees): 3.1585 4.3690 5.8800 90.00 90.33 90.00
Last column: nearest neighbours and their distance in Å.
Space group P2/m (No. 10)
Asymmetric unit:
Zr 0.0000 0.0000 0.0000 [1 per cell]  8 In 3.08-3.09, 2 Zr 3.16, 4 Be 3.33-3.35
Be 0.5000 0.0000 0.5000 [1 per cell]  4 In 2.61
In 0.4954 0.5000 0.7444 [2 per cell]  2 Be 2.61, 1 In 2.87

[8]
A plane-wave DFT calculation with PBE-GGA was carried out for crystalline ZrBeIn2 at its relaxed geometry.

Values from the calculation:
Total magnetization = 0.000 Bohr magnetons per cell
Energy of formation = 209 meV per atom

Lattice parameters (Å, degrees): 3.1853 3.1853 27.7722 90.00 90.00 120.00
Last column: nearest neighbours and their distance in Å.
Space group R-3m (No. 166, hexagonal axes)
Asymmetric unit:
Zr 0.0000 0.0000 0.0000 [3 per cell]  6 Zr 3.19, 6 In 3.20
Be 0.0000 0.0000 0.5000 [3 per cell]  6 In 2.72
In 0.0000 0.0000 0.2391 [6 per cell]  3 Be 2.72

[9]
A plane-wave DFT calculation with PBE-GGA was carried out for crystalline ZrBe2In at its relaxed geometry.

Values from the calculation:
Total magnetization = 0.000 Bohr magnetons per cell
Energy of formation = 424 meV per atom

Lattice parameters (Å, degrees): 6.4080 6.4080 6.4080 90.00 90.00 90.00
Last column: nearest neighbours and their distance in Å.
Space group F-43m (No. 216)
Asymmetric unit:
Zr 0.0000 0.0000 0.0000 [4 per cell]  4 Be 2.77, 4 In 2.77
Be 0.0000 0.0000 0.5000 [4 per cell]  4 In 2.77, 4 Be 2.77
Be 0.2500 0.2500 0.7500 [4 per cell]  4 Zr 2.77, 4 Be 2.77
In 0.2500 0.2500 0.2500 [4 per cell]  4 Zr 2.77, 4 Be 2.77

[10]
A plane-wave DFT calculation with PBE-GGA was carried out for crystalline Zr2BeIn at its relaxed geometry.

Values from the calculation:
Total magnetization = 0.000 Bohr magnetons per cell
Offset from the most stable computed form = 406 meV per atom
Energy of formation = 227 meV per atom

Lattice parameters (Å, degrees): 7.5614 7.5614 5.7032 90.00 90.00 90.00
Last column: nearest neighbours and their distance in Å.
Space group I-42d (No. 122)
Asymmetric unit:
Zr 0.2172 0.2500 0.1250 [8 per cell]  2 Be 2.60, 2 Zr 2.89
Be 0.0000 0.0000 0.0000 [4 per cell]  4 Zr 2.60, 2 In 2.85
In 0.0000 0.0000 0.5000 [4 per cell]  2 Be 2.85, 4 Zr 2.94

[11]
A plane-wave DFT calculation with PBE-GGA was carried out for crystalline Zr2BeIn at its relaxed geometry.

Values from the calculation:
Total magnetization = 0.000 Bohr magnetons per cell
Offset from the most stable computed form = 0 meV per atom
Energy of formation = -179 meV per atom

Lattice parameters (Å, degrees): 3.0354 3.0354 8.2702 90.00 90.00 90.00
Last column: nearest neighbours and their distance in Å.
Space group P4/mmm (No. 123)
Asymmetric unit:
Zr 0.0000 0.0000 0.2068 [2 per cell]  4 Be 2.74, 4 Zr 3.04
Be 0.5000 0.5000 0.0000 [1 per cell]  8 Zr 2.74, 4 Be 3.04
In 0.5000 0.5000 0.5000 [1 per cell]  4 In 3.04, 8 Zr 3.24

[12]
A plane-wave DFT calculation with PBE-GGA was carried out for crystalline ZrBeIn2 at its relaxed geometry.

Values from the calculation:
Total magnetization = 0.000 Bohr magnetons per cell
Energy of formation = 122 meV per atom

Lattice parameters (Å, degrees): 3.3340 3.3340 7.0265 90.00 90.00 90.00
Last column: nearest neighbours and their distance in Å.
Space group P4/mmm (No. 123)
Asymmetric unit:
Zr 0.0000 0.0000 0.0000 [1 per cell]  8 In 3.11, 4 Zr 3.33
Be 0.0000 0.0000 0.5000 [1 per cell]  8 In 2.79
In 0.5000 0.5000 0.2884 [2 per cell]  4 Be 2.79, 1 In 2.97, 4 Zr 3.11

> Among the records above, which one has the highest energy of formation?

number 3

> Look up the energy of formation of the twelfth one.

122 meV per atom